The following is a DFT calculation (GGA-PBE) of crystalline Ce12InRu6 at its relaxed geometry.

DFT formation energy ... -2.86 kcal/mol of atoms
ρ ... 8342 kg/m3

POSCAR file:
```
Ce12InRu6
1.0
-1.449 6.794 4.510
4.208 -5.218 4.865
5.158 2.249 -6.078
Ce Ru In
12 6 1
direct
0.110 0.890 0.500
0.110 0.500 0.890
0.890 0.110 0.500
0.500 0.110 0.890
0.500 0.890 0.110
0.415 0.155 0.415
0.585 0.585 0.845
0.890 0.500 0.110
0.155 0.415 0.415
0.845 0.585 0.585
0.415 0.415 0.155
0.585 0.845 0.585
0.297 0.712 0.712
0.703 0.288 0.288
0.288 0.288 0.703
0.712 0.712 0.297
0.288 0.703 0.288
0.712 0.297 0.712
0.000 0.000 0.000
```